# 1
The following is a DFT calculation (PBE) of a relaxed structure of Y3NbTe.

Unit cell a=5.4489 b=5.4489 c=5.4489 alpha=90.00 beta=90.00 gamma=90.00
Closest atoms and distances in Å follow each position.
Space group Pm-3m (No. 221)
Unique sites:
Y (0.0000, 0.0000, 0.5000)  2 Nb 2.72
Nb (0.0000, 0.0000, 0.0000)  6 Y 2.72
Te (0.5000, 0.5000, 0.5000)  12 Y 3.85

DOS(E_F) = 5.87 states/eV per cell
Excess energy over the best structure of this formula in the dataset = 0 meV per atom
Crystal system = cubic


# 2
The following is a DFT calculation (PBE) of a relaxed structure of Tb5Tl2Os.

Unit cell a=7.7761 b=12.2280 c=4.6815 alpha=90.00 beta=90.00 gamma=90.00
Closest atoms and distances in Å follow each position.
Space group Pbam (No. 55)
Unique sites:
Tb (0.0000, 0.0000, 0.0000)  4 Tl 3.17, 4 Tb 3.52
Tb (0.1417, 0.2969, 0.0000)  1 Os 2.72
Tb (0.1813, 0.5718, 0.5000)  2 Os 2.87
Tl (0.0739, 0.8316, 0.5000)  9 Tb 3.17-3.50
Os (0.0000, 0.5000, 0.0000)  6 Tb 2.72-2.87

ΔE_f = -0.302 eV/atom
DOS(E_F) = 13.94 states/eV per cell
Excess energy over the best structure of this formula in the dataset = 0 meV per atom
Crystal system = orthorhombic


# 3
The following is a DFT calculation (PBE) of a relaxed structure of ReS2BrN.

Unit cell a=4.9570 b=4.9570 c=3.5847 alpha=90.00 beta=90.00 gamma=90.00
Closest atoms and distances in Å follow each position.
Space group P4/mmm (No. 123)
Unique sites:
Re (0.0000, 0.0000, 0.0000)  8 S 3.06
S (0.0000, 0.5000, 0.5000)  2 Br 2.48
Br (0.5000, 0.5000, 0.5000)  2 N 1.79
N (0.5000, 0.5000, 0.0000)  2 Br 1.79

DOS(E_F) = 3.22 states/eV per cell
Excess energy over the best structure of this formula in the dataset = 1821 meV per atom
Crystal system = tetragonal